(1)
ZnRe3Sb: single point on PBEsol structure, meta-GGA SCAN.

Computed properties:
Crystal system: cubic
Symmetry: No. 221
Formation energy without anion corrections in meV per atom: 2065
Total DFT energy (no corrections) in eV per atom: -50.748

Unit cell a=4.500 b=4.500 c=4.500 alpha=90.00 beta=90.00 gamma=90.00
Fractional coordinates of all 5 atoms:
1 Zn 0.000 0.000 0.000
2 Re 0.000 0.000 0.500
3 Re 0.000 0.500 0.000
4 Re 0.500 0.000 0.000
5 Sb 0.500 0.500 0.500

***

(2)
EuSnPt: single point on PBEsol structure, meta-GGA SCAN.

Computed properties:
Crystal system: orthorhombic
Formation energy in eV per formula unit: -3.26
Symmetry: No. 62
Total DFT energy (no corrections) in eV per atom: -54.362

Unit cell a=7.336 b=4.624 c=7.938 alpha=90.00 beta=90.00 gamma=90.00
Fractional coordinates of all 12 atoms:
1 Eu 0.019 0.250 0.189
2 Eu 0.481 0.750 0.689
3 Eu 0.519 0.250 0.311
4 Eu 0.981 0.750 0.811
5 Sn 0.169 0.250 0.577
6 Sn 0.331 0.750 0.077
7 Sn 0.669 0.250 0.923
8 Sn 0.831 0.750 0.423
9 Pt 0.211 0.750 0.400
10 Pt 0.289 0.250 0.900
11 Pt 0.711 0.750 0.100
12 Pt 0.789 0.250 0.600

***

(3)
Tl3Cd: single point on PBEsol structure, meta-GGA SCAN.

Computed properties:
Crystal system: orthorhombic
Formation energy in eV per formula unit: 0.23
Symmetry: No. 62
Total DFT energy (no corrections) in eV per atom: -61.816

Unit cell a=6.842 b=9.521 c=6.568 alpha=90.00 beta=90.00 gamma=90.00
Fractional coordinates of all 16 atoms:
1 Tl 0.013 0.250 0.041
2 Tl 0.213 0.515 0.301
3 Tl 0.213 0.985 0.301
4 Tl 0.287 0.015 0.801
5 Tl 0.287 0.485 0.801
6 Tl 0.487 0.750 0.541
7 Tl 0.513 0.250 0.459
8 Tl 0.713 0.515 0.199
9 Tl 0.713 0.985 0.199
10 Tl 0.787 0.015 0.699
11 Tl 0.787 0.485 0.699
12 Tl 0.987 0.750 0.959
13 Cd 0.041 0.250 0.526
14 Cd 0.459 0.750 0.026
15 Cd 0.541 0.250 0.974
16 Cd 0.959 0.750 0.474

***

(4)
ZnSb2WI: single point on PBEsol structure, meta-GGA SCAN.

Computed properties:
Crystal system: tetragonal
Symmetry: No. 123
Formation energy without anion corrections in meV per atom: 814
Total DFT energy (no corrections) in eV per atom: -38.080

Unit cell a=5.136 b=5.136 c=5.732 alpha=90.00 beta=90.00 gamma=90.00
Fractional coordinates of all 5 atoms:
1 Zn 0.000 0.000 0.000
2 Sb 0.000 0.500 0.500
3 Sb 0.500 0.000 0.500
4 W 0.500 0.500 0.500
5 I 0.500 0.500 0.000